Dy3Ga7Co2: relaxed, PBE-GGA.

It has space group Cmmm (No. 65), with a = 4.473 Å, b = 22.441 Å, c = 4.494 Å, α = 90.00°, β = 90.00° and γ = 90.00°. The distinct sites, in fractional coordinates, are Dy at (0.000, 0.000, 0.000), Dy at (0.000, 0.185, 0.000), Ga at (0.000, 0.093, 0.500), Ga at (0.000, 0.283, 0.500), Ga at (0.000, 0.407, 0.000), Ga at (0.000, 0.500, 0.500) and Co at (0.000, 0.390, 0.500).

As for the raw total energy: -4.55 eV per atom. The value obtained for the density of states at the Fermi level is 15.563 states/eV per cell. The formation energy is -5.41 eV per formula unit. Its excess energy over the best structure of this formula in the dataset is 0 kJ/mol of formula units.